1.
The following is a GGA-PBE calculation of an optimized crystal structure of DySiPO, from OQMD.

The polymorph energy (0 for the lowest one) is 763 meV/atom.

CIF file:
```
data_DySiPO
_chemical_formula_sum 'Dy2 Si2 P2 O2'
_symmetry_space_group_name_H-M 'P 4/n m m'
_symmetry_Int_Tables_number 129
_cell_length_a 4.942
_cell_length_b 4.942
_cell_length_c 5.442
_cell_angle_alpha 90.00
_cell_angle_beta 90.00
_cell_angle_gamma 90.00
loop_
_symmetry_equiv_pos_as_xyz
'x,y,z'
'-x,-y,-z'
'-y+1/2,x,z'
'y+1/2,-x,-z'
'-x+1/2,-y+1/2,z'
'x+1/2,y+1/2,-z'
'y,-x+1/2,z'
'-y,x+1/2,-z'
'x+1/2,-y,-z'
'-x+1/2,y,z'
'-y,-x,-z'
'y,x,z'
'-x,y+1/2,-z'
'x,-y+1/2,z'
'y+1/2,x+1/2,-z'
'-y+1/2,-x+1/2,z'
loop_
_atom_site_label
_atom_site_type_symbol
_atom_site_fract_x
_atom_site_fract_y
_atom_site_fract_z
Dy1 Dy 0.250 0.750 0.000
Si1 Si 0.250 0.250 0.424
P1 P 0.250 0.250 0.822
O1 O 0.250 0.750 0.500
```

---

2.
The following is a GGA-PBE calculation of an optimized crystal structure of DySnPO, from OQMD.

The polymorph energy (0 for the lowest one) is 72 meV/atom.

CIF file:
```
data_DySnPO
_chemical_formula_sum 'Dy2 Sn2 P2 O2'
_symmetry_space_group_name_H-M 'P 4/n m m'
_symmetry_Int_Tables_number 129
_cell_length_a 4.072
_cell_length_b 4.072
_cell_length_c 9.714
_cell_angle_alpha 90.00
_cell_angle_beta 90.00
_cell_angle_gamma 90.00
loop_
_symmetry_equiv_pos_as_xyz
'x,y,z'
'-x,-y,-z'
'-y+1/2,x,z'
'y+1/2,-x,-z'
'-x+1/2,-y+1/2,z'
'x+1/2,y+1/2,-z'
'y,-x+1/2,z'
'-y,x+1/2,-z'
'x+1/2,-y,-z'
'-x+1/2,y,z'
'-y,-x,-z'
'y,x,z'
'-x,y+1/2,-z'
'x,-y+1/2,z'
'y+1/2,x+1/2,-z'
'-y+1/2,-x+1/2,z'
loop_
_atom_site_label
_atom_site_type_symbol
_atom_site_fract_x
_atom_site_fract_y
_atom_site_fract_z
Dy1 Dy 0.250 0.250 0.105
Sn1 Sn 0.250 0.750 0.500
P1 P 0.250 0.250 0.725
O1 O 0.250 0.750 0.000
```

---

| no. | M_tot (μB per atom) | final energy (eV/f.u.) |
| --- | --- | --- |
| 1 | 0.00 | -23.4 |
| 2 | 0.00 | -24.5 |